# 1
Compound: Ac4Tb3ErSe8
Source: the Alexandria database
Functional: PBE
Structure: relaxed

The structure belongs to space group R-3m (No. 166, hexagonal axes); the cell edges are 8.3232, 8.3232 and 22.0755 Å and the angles 90.00°, 90.00° and 120.00°. The inequivalent atoms are Ac at (0.0000, 0.0000, 0.0000), Ac at (0.0000, 0.5000, 0.0000), Tb at (0.0000, 0.5000, 0.5000), Er at (0.0000, 0.0000, 0.5000), Se at (0.0000, 0.0000, 0.2402) and Se at (0.0029, 0.5015, 0.2395).

The value obtained for the final energy is -5.7236 eV per atom.

# 2
Compound: AcTbEr2Se4
Source: the Alexandria database
Functional: PBE
Structure: relaxed

The structure belongs to space group P2/m (No. 10); the cell edges are 7.104, 4.071 and 7.449 Å and the angles 90.00°, 108.34° and 90.00°. The inequivalent atoms are Ac at (0.000, 0.000, 0.000), Tb at (0.500, 0.500, 0.000), Er at (0.000, 0.500, 0.500), Er at (0.500, 0.000, 0.500), Se at (0.255, 0.000, 0.734) and Se at (0.269, 0.500, 0.275).

The value obtained for the final energy is -5.7037 eV per atom.

Number 1: ΔE_f (raw) -1801 meV per atom. Number 2: ΔE_f (raw) -1728 meV per atom.